# WSe2IN

A relaxed WSe2IN crystal (PBE, Alexandria).

Output
- Raw formation energy: 2016.8 meV/atom
- Density of states at the Fermi level: 0.5318 states/eV/atom
- Calculated total energy: -3.94 eV per atom

Cell and atoms, written as CIF:
```
data_WSe2IN
_chemical_formula_sum 'W1 Se2 I1 N1'
_symmetry_space_group_name_H-M 'P 4/m m m'
_symmetry_Int_Tables_number 123
_symmetry_space_group_name_Hall '-P 4 2'
_cell_length_a 5.436
_cell_length_b 5.436
_cell_length_c 3.873
_cell_angle_alpha 90.00
_cell_angle_beta 90.00
_cell_angle_gamma 90.00
loop_
_atom_site_label
_atom_site_type_symbol
_atom_site_fract_x
_atom_site_fract_y
_atom_site_fract_z
W1 W 0.000 0.000 0.000
Se1 Se 0.000 0.500 0.500
I1 I 0.500 0.500 0.500
N1 N 0.500 0.500 0.000
```



# WSeIN2

A relaxed WSeIN2 crystal (PBE, Alexandria).

Output
- Raw formation energy: 580.0 meV/atom
- Density of states at the Fermi level: 0.6581 states/eV/atom
- Calculated total energy: -6.35 eV per atom

Cell and atoms, written as CIF:
```
data_WSeIN2
_chemical_formula_sum 'W1 Se1 I1 N2'
_symmetry_space_group_name_H-M 'P 4/m m m'
_symmetry_Int_Tables_number 123
_symmetry_space_group_name_Hall '-P 4 2'
_cell_length_a 3.992
_cell_length_b 3.992
_cell_length_c 5.583
_cell_angle_alpha 90.00
_cell_angle_beta 90.00
_cell_angle_gamma 90.00
loop_
_atom_site_label
_atom_site_type_symbol
_atom_site_fract_x
_atom_site_fract_y
_atom_site_fract_z
W1 W 0.000 0.000 0.000
Se1 Se 0.000 0.000 0.500
I1 I 0.500 0.500 0.500
N1 N 0.000 0.500 0.000
```